First-principles (GGA-PBE) data for a geometry-optimized CaTiSn2Se structure, as listed in Alexandria.

Geometry as POSCAR:
```
CaTiSn2Se
1.0
5.531 0.000 0.000
0.000 5.531 0.000
0.000 0.000 5.174
Ca Ti Sn Se
1 1 2 1
Direct
0.000 0.000 0.000
0.500 0.500 0.000
0.000 0.500 0.500
0.500 0.000 0.500
0.000 0.000 0.500
```

Summary:
E = -3.90 eV per atom
Density = 4.24 g/cm³

First-principles (GGA-PBE) data for a geometry-optimized CaTl2SnSe4 structure, as listed in Alexandria.

Geometry as POSCAR:
```
CaTl2SnSe4
1.0
-4.269 4.391 6.089
4.269 -4.391 6.089
4.269 4.391 -6.089
Ca Tl Sn Se
2 4 2 8
Direct
0.000 0.000 0.000
0.500 0.000 0.500
0.000 0.500 0.500
0.500 0.000 0.000
0.500 0.500 0.000
0.500 0.500 0.500
0.000 0.000 0.500
0.000 0.500 0.000
0.214 0.243 0.971
0.228 0.757 0.471
0.230 0.213 0.482
0.230 0.748 0.018
0.770 0.252 0.982
0.770 0.787 0.518
0.772 0.243 0.529
0.786 0.757 0.029
```

Summary:
E = -3.82 eV per atom
Density = 6.43 g/cm³

First-principles (GGA-PBE) data for a geometry-optimized CaTlSn2Se4 structure, as listed in Alexandria.

Geometry as POSCAR:
```
CaTlSn2Se4
1.0
7.473 0.000 0.000
0.000 4.239 0.000
-2.429 0.000 7.070
Ca Tl Sn Se
1 1 2 4
Direct
0.000 0.000 0.000
0.500 0.500 0.000
0.000 0.500 0.500
0.500 0.000 0.500
0.228 0.000 0.732
0.233 0.500 0.256
0.767 0.500 0.744
0.772 0.000 0.268
```

Summary:
E = -4.07 eV per atom
Density = 5.91 g/cm³

First-principles (GGA-PBE) data for a geometry-optimized Ca2YSnSe4 structure, as listed in Alexandria.

Geometry as POSCAR:
```
Ca2YSnSe4
1.0
7.261 0.000 0.000
0.000 4.188 0.000
-2.436 0.000 6.925
Ca Y Sn Se
2 1 1 4
Direct
0.000 0.000 0.000
0.000 0.500 0.500
0.500 0.000 0.500
0.500 0.500 0.000
0.250 0.000 0.742
0.253 0.500 0.256
0.747 0.500 0.744
0.750 0.000 0.258
```

Summary:
E = -5.05 eV per atom
Density = 4.76 g/cm³

First-principles (GGA-PBE) data for a geometry-optimized CaZrSn2Se structure, as listed in Alexandria.

Geometry as POSCAR:
```
CaZrSn2Se
1.0
5.579 0.000 0.000
0.000 5.579 0.000
0.000 0.000 5.199
Ca Zr Sn Se
1 1 2 1
Direct
0.000 0.000 0.000
0.500 0.500 0.500
0.000 0.500 0.500
0.500 0.000 0.500
0.500 0.500 0.000
```

Summary:
E = -4.68 eV per atom
Density = 4.59 g/cm³

First-principles (GGA-PBE) data for a geometry-optimized Sr2CaSe structure, as listed in Alexandria.

Geometry as POSCAR:
```
Sr2CaSe
1.0
3.889 0.000 0.000
0.000 3.876 0.000
-0.024 0.000 10.128
Sr Ca Se
2 1 1
Direct
0.001 0.000 0.318
0.999 0.000 0.682
0.500 0.500 0.000
0.500 0.500 0.500
```

Summary:
E = -3.07 eV per atom
Density = 3.20 g/cm³